[1]
Material: BaAuBr2
Method: DFT, PBEsol
State: optimized geometry

Raw formation energy in eV/atom: -1.0574
SG: Immm, No. 71
Size of the total moment in μB/f.u.: 0.00

Cell: 5.431 5.431 5.431 Å, 123.79 116.51 89.85°
Sites, in units of the cell vectors:
Ba 0.000 0.000 0.000
Au 0.500 0.500 0.000
Br 0.277 0.777 0.500
Br 0.723 0.223 0.500

---

[2]
Material: BaAu2Br
Method: DFT, PBEsol
State: optimized geometry

Raw formation energy in eV/atom: -0.6519
SG: I4/mmm, No. 139
Size of the total moment in μB/f.u.: 0.00

Cell: 6.472 6.472 6.472 Å, 141.35 141.35 55.81°
Sites, in units of the cell vectors:
Ba 0.000 0.000 0.000
Au 0.250 0.750 0.500
Au 0.750 0.250 0.500
Br 0.500 0.500 0.000

---

[3]
Material: BaMn2AuBr
Method: DFT, PBEsol
State: optimized geometry

Raw formation energy in eV/atom: 0.6241
SG: P4/mmm, No. 123
Size of the total moment in μB/f.u.: 6.87

Cell: 4.632 4.632 6.026 Å, 90.00 90.00 90.00°
Sites, in units of the cell vectors:
Ba 0.000 0.000 0.000
Mn 0.000 0.500 0.500
Mn 0.500 0.000 0.500
Au 0.500 0.500 0.000
Br 0.000 0.000 0.500

---

[4]
Material: BaAuSeBr2
Method: DFT, PBEsol
State: optimized geometry

Raw formation energy in eV/atom: -0.9622
SG: P4/mmm, No. 123
Size of the total moment in μB/f.u.: 0.00

Cell: 5.240 5.240 5.218 Å, 90.00 90.00 90.00°
Sites, in units of the cell vectors:
Ba 0.000 0.000 0.000
Au 0.500 0.500 0.500
Se 0.500 0.500 0.000
Br 0.000 0.500 0.500
Br 0.500 0.000 0.500

---

[5]
Material: BaAuSeBr2
Method: DFT, PBEsol
State: optimized geometry

Raw formation energy in eV/atom: 0.0158
SG: P4/mmm, No. 123
Size of the total moment in μB/f.u.: 1.02

Cell: 6.078 6.078 6.380 Å, 90.00 90.00 90.00°
Sites, in units of the cell vectors:
Ba 0.000 0.000 0.000
Au 0.500 0.500 0.500
Se 0.000 0.000 0.500
Br 0.000 0.500 0.000
Br 0.500 0.000 0.000

---

[6]
Material: BaAuC3
Method: DFT, PBEsol
State: optimized geometry

SG: Pm-3m, No. 221
Size of the total moment in μB/f.u.: 0.00
VASP energy in eV for the cell shown: -15.62

Cell: 4.584 4.584 4.584 Å, 90.00 90.00 90.00°
Sites, in units of the cell vectors:
Ba 0.000 0.000 0.000
Au 0.500 0.500 0.500
C 0.000 0.000 0.500
C 0.000 0.500 0.000
C 0.500 0.000 0.000